w:
The following is a GGA-PBE calculation of an optimized crystal structure of Na3BeV, from the Alexandria database.

a b c (Å): 5.661 5.661 5.661
angles (deg): 90.00 90.00 90.00
Site moments in Bohr magnetons follow the coordinates.
Atoms (fractional coordinates):
1 Na 0.500 0.000 0.000  0.04
2 Na 0.000 0.000 0.500  0.04
3 Na 0.000 0.500 0.000  0.04
4 V 0.000 0.000 0.000  3.37
5 Be 0.500 0.500 0.500  0.01

Values from the calculation:
DOS at the Fermi energy: 7.712 states/eV/f.u.

=====

x:
The following is a GGA-PBE calculation of an optimized crystal structure of Na3BeV, from the Alexandria database.

a b c (Å): 5.260 5.260 5.260
angles (deg): 90.00 90.00 90.00
Site moments in Bohr magnetons follow the coordinates.
Atoms (fractional coordinates):
1 Na 0.000 0.500 0.000  0.00
2 Na 0.500 0.000 0.000  0.00
3 Na 0.000 0.000 0.500  0.00
4 V 0.500 0.500 0.500  3.19
5 Be 0.000 0.000 0.000  -0.04

Values from the calculation:
DOS at the Fermi energy: 5.989 states/eV/f.u.

=====

Name the least stable of them. w.

=====

w:
The following is a GGA-PBE calculation of an optimized crystal structure of Na3BeW, from the Alexandria database.

a b c (Å): 5.229 5.229 5.229
angles (deg): 90.00 90.00 90.00
Site moments in Bohr magnetons follow the coordinates.
Atoms (fractional coordinates):
1 Na 0.000 0.500 0.000  -0.01
2 Na 0.000 0.000 0.500  0.00
3 Na 0.500 0.000 0.000  -0.01
4 W 0.500 0.500 0.500  3.31
5 Be 0.000 0.000 0.000  -0.07

Values from the calculation:
DOS at the Fermi energy: 3.282 states/eV/f.u.

=====

x:
The following is a GGA-PBE calculation of an optimized crystal structure of Na3BeW, from the Alexandria database.

a b c (Å): 5.906 5.906 5.906
angles (deg): 90.00 90.00 90.00
Site moments in Bohr magnetons follow the coordinates.
Atoms (fractional coordinates):
1 Na 0.500 0.000 0.000  0.05
2 Na 0.000 0.500 0.000  0.04
3 Na 0.000 0.000 0.500  0.02
4 W 0.000 0.000 0.000  3.43
5 Be 0.500 0.500 0.500  0.02

Values from the calculation:
DOS at the Fermi energy: 3.958 states/eV/f.u.

=====

Name the least stable of them. x.

=====

w:
The following is a GGA-PBE calculation of an optimized crystal structure of Na3YBe, from the Alexandria database.

a b c (Å): 5.322 5.322 5.322
angles (deg): 90.00 90.00 90.00
Site moments in Bohr magnetons follow the coordinates.
Atoms (fractional coordinates):
1 Na 0.500 0.000 0.000  0.00
2 Na 0.000 0.000 0.500  0.00
3 Na 0.000 0.500 0.000  0.00
4 Be 0.000 0.000 0.000  -0.02
5 Y 0.500 0.500 0.500  0.13

Values from the calculation:
DOS at the Fermi energy: 4.321 states/eV/f.u.

=====

x:
The following is a GGA-PBE calculation of an optimized crystal structure of Na3YBe, from the Alexandria database.

a b c (Å): 6.621 6.621 6.621
angles (deg): 90.00 90.00 90.00
Site moments in Bohr magnetons follow the coordinates.
Atoms (fractional coordinates):
1 Na 0.000 0.000 0.500  0.03
2 Na 0.000 0.500 0.000  0.02
3 Na 0.500 0.000 0.000  0.01
4 Be 0.500 0.500 0.500  -0.01
5 Y 0.000 0.000 0.000  0.55

Values from the calculation:
DOS at the Fermi energy: 6.238 states/eV/f.u.

=====

Name the least stable of them. x.